Record 1
Material: LiAl2Ru
Method: DFT, PBE
State: optimized geometry

Computed properties:
space-group type: P-1 (2)

abc: 3.0672 4.2076 9.1821
angles: 90.04 109.50 90.00
Atoms (fractional coordinates):
Ru 0.3598 0.7497 0.8593
Ru 0.6402 0.2502 0.1407
Li 0.8634 0.7507 0.3646
Li 0.1366 0.2493 0.6354
Al 0.8958 0.2498 0.8952
Al 0.1042 0.7502 0.1048
Al 0.3741 0.2508 0.3746
Al 0.6259 0.7492 0.6254

Record 2
Material: SrAgAs3
Method: DFT, PBE
State: optimized geometry

Computed properties:
space-group type: Pm-3m (221)
ΔE to the lowest computed polymorph: 0 meV/atom

abc: 5.1077 5.1077 5.1077
angles: 90.00 90.00 90.00
Atoms (fractional coordinates):
As 0.5000 0.0000 0.0000
As 0.0000 0.5000 0.0000
As 0.0000 0.0000 0.5000
Sr 0.5000 0.5000 0.5000
Ag 0.0000 0.0000 0.0000

Record 3
Material: BaCu2SnCl6
Method: DFT, PBE
State: optimized geometry

Computed properties:
raw formation energy: -1.199 eV per atom
space-group type: R-3 (148)

abc: 7.0402 7.0402 8.2021
angles: 64.59 64.59 60.00
Atoms (fractional coordinates):
Cl 0.0798 0.4450 0.7391
Cl 0.9202 0.5550 0.2609
Cl 0.2639 0.9202 0.2609
Cl 0.7361 0.0798 0.7391
Cl 0.4450 0.7361 0.7391
Cl 0.5550 0.2639 0.2609
Sn 0.5000 0.5000 0.5000
Ba 0.0000 0.0000 0.0000
Cu 0.7541 0.7541 0.7376
Cu 0.2459 0.2459 0.2624

Record 4
Material: Mg3FeSi
Method: DFT, PBE
State: optimized geometry

Computed properties:
raw formation energy: 0.725 eV per atom
space-group type: Pm-3m (221)
ΔE to the lowest computed polymorph: 0 meV/atom

abc: 4.9436 4.9436 4.9436
angles: 90.00 90.00 90.00
Atoms (fractional coordinates):
Mg 0.0000 0.0000 0.5000
Mg 0.0000 0.5000 0.0000
Mg 0.5000 0.0000 0.0000
Si 0.0000 0.0000 0.0000
Fe 0.5000 0.5000 0.5000

| no. | total energy (eV per atom) | total magnetic moment (Bohr magnetons per cell) |
| --- | --- | --- |
| 1 | -5.168 | 0.0 |
| 2 | -3.620 | 0.0 |
| 3 | -3.718 | 0.1 |
| 4 | -3.009 | 2.6 |